The following is a PBE-GGA calculation of a geometry-optimized Th5TlSb4 structure, from the Alexandria database.

As for the spin magnetization: 0.00 Bohr magnetons per cell. For the volume, the calculation gives 32.53 Å³ per atom. The density of states at the Fermi level is 12.91 states/eV/cell. As for the uncorrected formation energy: -0.73 eV/atom.

It has space group I4/m (No. 87), with a = 10.102 Å, b = 10.102 Å, c = 6.375 Å, α = 90.00°, β = 90.00° and γ = 90.00°. Symmetry generates all atoms from Th at (0.000, 0.000, 0.000), Th at (0.101, 0.300, 0.500), Tl at (0.000, 0.000, 0.500) and Sb at (0.100, 0.300, 0.000).

The following is a PBE-GGA calculation of a geometry-optimized NbInFeIr structure, from the Alexandria database.

As for the spin magnetization: 4.37 Bohr magnetons per cell. For the volume, the calculation gives 15.98 Å³ per atom. The calculation puts the formation energy at -0.1227 eV/atom. The density of states at the Fermi level is 9.04 states/eV/cell.

It has space group F-43m (No. 216), with a = 6.347 Å, b = 6.347 Å, c = 6.347 Å, α = 90.00°, β = 90.00° and γ = 90.00°. Symmetry generates all atoms from Nb at (0.000, 0.000, 0.000), In at (0.000, 0.000, 0.500), Fe at (0.250, 0.250, 0.250) and Ir at (0.250, 0.250, 0.750).

The following is a PBE-GGA calculation of a geometry-optimized Zr2BiAu structure, from the Alexandria database.

As for the spin magnetization: 0.00 Bohr magnetons per cell. For the volume, the calculation gives 22.07 Å³ per atom. The calculation puts the formation energy at -0.3423 eV/atom. The density of states at the Fermi level is 2.99 states/eV/cell.

It has space group P4/mmm (No. 123), with a = 4.578 Å, b = 4.578 Å, c = 4.212 Å, α = 90.00°, β = 90.00° and γ = 90.00°. Symmetry generates all atoms from Zr at (0.000, 0.500, 0.000), Bi at (0.000, 0.000, 0.500) and Au at (0.500, 0.500, 0.500).